A geometry-optimized CaVBr2 structure. Source: Alexandria, functional GGA-PBE.

abc: 5.284 5.284 9.147
angles: 73.21 73.21 90.00
Site moments in Bohr magnetons follow the coordinates.
Fractional positions:
Ca  0.500  0.500  0.000  0.15
Ca  0.250  0.750  0.500  0.15
Br  0.654  0.125  0.250  0.01
Br  0.096  0.625  0.250  0.01
Br  0.375  0.346  0.750  0.01
Br  0.875  0.904  0.750  0.01
V  0.000  0.000  0.000  3.17
V  0.750  0.250  0.500  3.17

Its formation energy from raw total energies is -485 meV/atom. The theoretical density comes out at 3.57 Mg/m³. The space group is I-42d (122). The value obtained for the energy relative to the lowest polymorph listed for this composition is 29 meV/atom.